# 1
Here is a geometry-optimized BaSrCd2 structure from the Alexandria database. Energies are from PBE.

Lattice parameters (Å, degrees): 8.006 8.006 8.006 90.00 90.00 90.00
Positions (direct):
Ba  0.000  0.000  0.000
Ba  0.000  0.500  0.500
Ba  0.500  0.000  0.500
Ba  0.500  0.500  0.000
Sr  0.250  0.250  0.750
Sr  0.250  0.750  0.250
Sr  0.750  0.250  0.250
Sr  0.750  0.750  0.750
Cd  0.000  0.000  0.500
Cd  0.000  0.500  0.000
Cd  0.250  0.250  0.250
Cd  0.250  0.750  0.750
Cd  0.500  0.000  0.000
Cd  0.500  0.500  0.500
Cd  0.750  0.250  0.750
Cd  0.750  0.750  0.250

Magnetic moment ... 0.00 μB per formula unit
Energy of formation ... -165 meV per atom

# 2
Here is a geometry-optimized Sc2V2Ni structure from the Alexandria database. Energies are from PBE.

Lattice parameters (Å, degrees): 6.185 6.185 4.488 90.00 90.00 90.00
Positions (direct):
Sc  0.169  0.331  0.000
Sc  0.331  0.831  0.000
Sc  0.669  0.169  0.000
Sc  0.831  0.669  0.000
V  0.136  0.636  0.500
V  0.364  0.136  0.500
V  0.636  0.864  0.500
V  0.864  0.364  0.500
Ni  0.000  0.000  0.500
Ni  0.500  0.500  0.500

Magnetic moment ... 0.26 μB per formula unit
Energy of formation ... 150 meV per atom

# 3
Here is a geometry-optimized Ce3Si2SbPt9 structure from the Alexandria database. Energies are from PBE.

Lattice parameters (Å, degrees): 6.560 6.560 8.927 90.00 90.00 120.00
Positions (direct):
Ce  0.000  0.000  0.000
Ce  0.333  0.667  0.725
Ce  0.667  0.333  0.275
Si  0.333  0.667  0.178
Si  0.667  0.333  0.822
Sb  0.000  0.000  0.500
Pt  0.000  0.500  0.000
Pt  0.144  0.289  0.266
Pt  0.144  0.856  0.266
Pt  0.289  0.144  0.734
Pt  0.500  0.000  0.000
Pt  0.500  0.500  0.000
Pt  0.711  0.856  0.266
Pt  0.856  0.144  0.734
Pt  0.856  0.711  0.734

Magnetic moment ... 2.56 μB per formula unit

Calculated VASP energy (eV/atom), listed in the same order as above: -1.5234; -7.1861; -6.4908